DFT (GGA+U) results for a relaxed structure of CrPbWO6.

```
CrPbWO6
1.0
-3.317 4.045 -0.396
-1.311 -4.672 -1.994
-4.189 -2.575 8.786
Cr Pb W O
2 2 2 12
direct
0.333 0.667 0.250
0.667 0.333 0.750
0.000 0.000 0.000
0.000 0.000 0.500
0.667 0.333 0.250
0.333 0.667 0.750
0.633 0.625 0.143
0.993 0.367 0.143
0.367 0.993 0.643
0.007 0.633 0.857
0.375 0.367 0.357
0.993 0.625 0.357
0.625 0.993 0.857
0.633 0.007 0.357
0.007 0.375 0.643
0.375 0.007 0.143
0.625 0.633 0.643
0.367 0.375 0.857
```

Output
For the electronic total energy, the calculation gives -126.8 eV per cell.